A crystal of MgBeIr2 relaxed with PBEsol. Source: Alexandria via LeMat-Bulk, functional SCAN.

The structure in POSCAR format:
```
MgBeIr2
1.0
4.1447 0.0000 0.0000
0.0000 4.1447 0.0000
0.0000 0.0000 2.9474
Mg Be Ir
1 1 2
direct
0.0000 0.0000 0.0000 Mg
0.5000 0.5000 0.0000 Be
0.0000 0.5000 0.5000 Ir
0.5000 0.0000 0.5000 Ir
```

Computed properties:
- M_tot: 0.0 μB per formula unit
- ΔH_f (0 K): -1.557 eV/f.u.
- E above lowest polymorph: 122.5 meV per atom
- Crystal system: tetragonal
- Space-group type: No. 123



A crystal of MgBeIr relaxed with PBEsol. Source: Alexandria via LeMat-Bulk, functional SCAN.

The structure in POSCAR format:
```
MgBeIr
1.0
2.9739 0.0000 0.0000
0.0000 2.9739 0.0000
0.0000 0.0000 9.0904
Mg Be Ir
2 2 2
direct
0.0000 0.0000 0.0000 Mg
0.5000 0.5000 0.5000 Mg
0.0000 0.0000 0.7091 Be
0.5000 0.5000 0.2091 Be
0.0000 0.0000 0.3047 Ir
0.5000 0.5000 0.8047 Ir
```

Computed properties:
- M_tot: 0.0 μB per formula unit
- ΔH_f (0 K): -1.835 eV/f.u.
- Crystal system: tetragonal
- Space-group type: No. 107



A crystal of MgBe2Ir2 relaxed with PBEsol. Source: Alexandria via LeMat-Bulk, functional SCAN.

The structure in POSCAR format:
```
MgBe2Ir2
1.0
6.6724 0.0000 0.0000
0.0000 6.6724 0.0000
0.0000 0.0000 2.7973
Mg Be Ir
2 4 4
direct
0.0000 0.0000 0.0000 Mg
0.5000 0.5000 0.0000 Mg
0.1483 0.3517 0.5000 Be
0.3517 0.8517 0.5000 Be
0.6483 0.1483 0.5000 Be
0.8517 0.6483 0.5000 Be
0.1443 0.6443 0.0000 Ir
0.3557 0.1443 0.0000 Ir
0.6443 0.8557 0.0000 Ir
0.8557 0.3557 0.0000 Ir
```

Computed properties:
- M_tot: 0.0 μB per formula unit
- ΔH_f (0 K): -2.368 eV/f.u.
- E above lowest polymorph: 236.1 meV per atom
- Crystal system: tetragonal
- Space-group type: No. 127



A crystal of MnBe2Ir relaxed with PBEsol. Source: Alexandria via LeMat-Bulk, functional SCAN.

The structure in POSCAR format:
```
MnBe2Ir
1.0
5.4847 0.0000 0.0000
0.0000 5.4847 0.0000
0.0000 0.0000 5.4847
Mn Be Ir
4 8 4
direct
0.0000 0.0000 0.0000 Mn
0.0000 0.5000 0.5000 Mn
0.5000 0.0000 0.5000 Mn
0.5000 0.5000 0.0000 Mn
0.2500 0.2500 0.2500 Be
0.2500 0.2500 0.7500 Be
0.2500 0.7500 0.2500 Be
0.2500 0.7500 0.7500 Be
0.7500 0.2500 0.2500 Be
0.7500 0.2500 0.7500 Be
0.7500 0.7500 0.2500 Be
0.7500 0.7500 0.7500 Be
0.0000 0.0000 0.5000 Ir
0.0000 0.5000 0.0000 Ir
0.5000 0.0000 0.0000 Ir
0.5000 0.5000 0.5000 Ir
```

Computed properties:
- M_tot: 3.2 μB per formula unit
- ΔH_f (0 K): -2.806 eV/f.u.
- E above lowest polymorph: 0.0 meV per atom
- Crystal system: cubic
- Space-group type: No. 225



Density (computed, g/cm³): 13.7, 9.3, 11.4, 10.7